Compound: Ti6Ga12Rh
Source: the Alexandria database
Functional: PBE-GGA
Structure: optimized geometry

abc: 6.809 6.809 6.809
angles: 95.65 95.65 95.65
Atoms (fractional coordinates):
1 Ga 0.025 0.113 0.366
2 Ga 0.442 0.520 0.197
3 Ga 0.634 0.975 0.887
4 Ga 0.975 0.887 0.634
5 Ga 0.480 0.803 0.558
6 Ga 0.803 0.558 0.480
7 Ga 0.520 0.197 0.442
8 Ga 0.558 0.480 0.803
9 Ga 0.113 0.366 0.025
10 Ga 0.887 0.634 0.975
11 Ga 0.197 0.442 0.520
12 Ga 0.366 0.025 0.113
13 Ti 0.696 0.852 0.259
14 Ti 0.304 0.148 0.741
15 Ti 0.148 0.741 0.304
16 Ti 0.741 0.304 0.148
17 Ti 0.852 0.259 0.696
18 Ti 0.259 0.696 0.852
19 Rh 0.000 0.000 0.000

Calculated values
density of states at the Fermi level = 14.6 states/eV per cell
DFT total energy = -97.97 eV per cell
formation enthalpy at 0 K = -0.365 eV per atom
space-group type = R-3